Record 1
Li2As2Au: relaxed, PBE-GGA.

Output
space-group type: P4/mbm, No. 127
total energy: -3.510 eV/atom
formation energy from the elements: -0.2292 eV per atom
energy above the most stable polymorph in this dataset: 0.207 eV/atom

Structure (CIF):
```
data_Li2As2Au
_cell_length_a 7.710
_cell_length_b 7.710
_cell_length_c 2.792
_cell_angle_alpha 90.00
_cell_angle_beta 90.00
_cell_angle_gamma 90.00
_symmetry_space_group_name_H-M 'P 1'
_symmetry_Int_Tables_number 1
_symmetry_space_group_name_Hall 'P 1'
loop_
_atom_site_label
_atom_site_type_symbol
_atom_site_fract_x
_atom_site_fract_y
_atom_site_fract_z
_atom_site_occupancy
Au1 Au 0.500 0.500 0.000 1
Au2 Au 0.000 0.000 0.000 1
As1 As 0.688 0.812 0.500 1
As2 As 0.188 0.688 0.500 1
As3 As 0.312 0.188 0.500 1
As4 As 0.812 0.312 0.500 1
Li1 Li 0.884 0.616 0.000 1
Li2 Li 0.616 0.116 0.000 1
Li3 Li 0.384 0.884 0.000 1
Li4 Li 0.116 0.384 0.000 1
```


Record 2
Ti6Ga2H: relaxed, PBE-GGA.

Output
space-group type: Amm2, No. 38
total energy: -6.528 eV/atom
energy above the most stable polymorph in this dataset: 0.162 eV/atom

Structure (CIF):
```
data_Ti6Ga2H
_cell_length_a 3.031
_cell_length_b 7.192
_cell_length_c 7.194
_cell_angle_alpha 119.99
_cell_angle_beta 90.00
_cell_angle_gamma 90.00
_symmetry_space_group_name_H-M 'P 1'
_symmetry_Int_Tables_number 1
_symmetry_space_group_name_Hall 'P 1'
loop_
_atom_site_label
_atom_site_type_symbol
_atom_site_fract_x
_atom_site_fract_y
_atom_site_fract_z
_atom_site_occupancy
Ti1 Ti 0.500 0.000 0.589 1
Ti2 Ti 0.000 0.770 0.770 1
Ti3 Ti 0.000 0.000 0.230 1
Ti4 Ti 0.500 0.411 0.411 1
Ti5 Ti 0.000 0.230 0.000 1
Ti6 Ti 0.500 0.589 0.000 1
H1 H 0.500 0.999 0.000 1
Ga1 Ga 0.000 0.334 0.667 1
Ga2 Ga 0.000 0.667 0.333 1
```


Record 3
Cu2Ag2Ge: relaxed, PBE-GGA.

Output
space-group type: P4/mbm, No. 127
total energy: -3.568 eV/atom
formation energy from the elements: 0.1342 eV per atom
energy above the most stable polymorph in this dataset: 0.000 eV/atom

Structure (CIF):
```
data_Cu2Ag2Ge
_cell_length_a 6.289
_cell_length_b 6.289
_cell_length_c 4.039
_cell_angle_alpha 90.00
_cell_angle_beta 90.00
_cell_angle_gamma 90.00
_symmetry_space_group_name_H-M 'P 1'
_symmetry_Int_Tables_number 1
_symmetry_space_group_name_Hall 'P 1'
loop_
_atom_site_label
_atom_site_type_symbol
_atom_site_fract_x
_atom_site_fract_y
_atom_site_fract_z
_atom_site_occupancy
Ag1 Ag 0.837 0.337 0.500 1
Ag2 Ag 0.663 0.837 0.500 1
Ag3 Ag 0.163 0.663 0.500 1
Ag4 Ag 0.337 0.163 0.500 1
Cu1 Cu 0.639 0.139 0.000 1
Cu2 Cu 0.139 0.361 0.000 1
Cu3 Cu 0.861 0.639 0.000 1
Cu4 Cu 0.361 0.861 0.000 1
Ge1 Ge 0.500 0.500 0.000 1
Ge2 Ge 0.000 0.000 0.000 1
```


Record 4
PuScAgBi: relaxed, PBE-GGA.

Output
space-group type: F-43m, No. 216
total energy: -7.086 eV/atom
formation energy from the elements: -0.2374 eV per atom

Structure (CIF):
```
data_PuScAgBi
_cell_length_a 5.212
_cell_length_b 5.212
_cell_length_c 5.212
_cell_angle_alpha 60.00
_cell_angle_beta 60.00
_cell_angle_gamma 60.00
_symmetry_space_group_name_H-M 'P 1'
_symmetry_Int_Tables_number 1
_symmetry_space_group_name_Hall 'P 1'
loop_
_atom_site_label
_atom_site_type_symbol
_atom_site_fract_x
_atom_site_fract_y
_atom_site_fract_z
_atom_site_occupancy
Pu1 Pu 0.250 0.250 0.250 1
Ag1 Ag 0.000 0.000 0.000 1
Bi1 Bi 0.500 0.500 0.500 1
Sc1 Sc 0.750 0.750 0.750 1
```


Record 5
Re2PbBr: relaxed, PBE-GGA.

Output
space-group type: P4/mmm, No. 123
total energy: -5.996 eV/atom
E_form (uncorrected): 1573 meV/atom
energy above the most stable polymorph in this dataset: 1.267 eV/atom

Structure (CIF):
```
data_Re2PbBr
_cell_length_a 4.679
_cell_length_b 4.679
_cell_length_c 3.286
_cell_angle_alpha 90.00
_cell_angle_beta 90.00
_cell_angle_gamma 90.00
_symmetry_space_group_name_H-M 'P 1'
_symmetry_Int_Tables_number 1
_symmetry_space_group_name_Hall 'P 1'
loop_
_atom_site_label
_atom_site_type_symbol
_atom_site_fract_x
_atom_site_fract_y
_atom_site_fract_z
_atom_site_occupancy
Pb1 Pb 0.000 0.500 0.500 1
Br1 Br 0.500 0.000 0.500 1
Re1 Re 0.500 0.500 0.000 1
Re2 Re 0.000 0.000 0.000 1
```


Record 6
KTlAs2: relaxed, PBE-GGA.

Output
space-group type: I4/mmm, No. 139
total energy: -3.107 eV/atom
formation energy from the elements: 0.0841 eV per atom
energy above the most stable polymorph in this dataset: 0.324 eV/atom

Structure (CIF):
```
data_KTlAs2
_cell_length_a 5.986
_cell_length_b 5.986
_cell_length_c 5.986
_cell_angle_alpha 135.75
_cell_angle_beta 135.71
_cell_angle_gamma 64.40
_symmetry_space_group_name_H-M 'P 1'
_symmetry_Int_Tables_number 1
_symmetry_space_group_name_Hall 'P 1'
loop_
_atom_site_label
_atom_site_type_symbol
_atom_site_fract_x
_atom_site_fract_y
_atom_site_fract_z
_atom_site_occupancy
Tl1 Tl 0.250 0.750 0.500 1
As1 As 0.500 0.500 0.000 1
As2 As 0.000 0.000 0.000 1
K1 K 0.750 0.250 0.500 1
```